(1)
Below is SrCa4 after structural relaxation, with properties calculated at the GGA-PBEsol level.

Properties
For the total energy, the calculation gives -1.4658 eV/atom. The formation energy is 0.61 eV per atom.

POSCAR file:
```
SrCa4
1.0
7.0905 0.0000 0.0000
-2.3635 6.6850 0.0000
-2.3635 -3.3425 5.7894
Ca Sr
4 1
Direct
0.0000 0.0000 0.5000
0.5000 0.0000 0.0000
0.5000 0.5000 0.5000
0.0000 0.5000 0.0000
0.0000 0.0000 0.0000
```

***

(2)
Below is Sr3Ca after structural relaxation, with properties calculated at the GGA-PBEsol level.

Properties
For the total energy, the calculation gives -1.8977 eV/atom. The formation energy is 0.02 eV per atom.

POSCAR file:
```
Sr3Ca
1.0
-3.3860 -3.0722 -0.2553
1.9809 -2.6461 5.5707
-3.1772 6.8625 0.6235
Sr Ca
3 1
Direct
0.7448 0.7448 0.4895
0.2552 0.2552 0.5105
0.5000 0.0000 0.0000
0.0000 0.5000 0.0000
```

***

(3)
Below is Sr3Ca after structural relaxation, with properties calculated at the GGA-PBEsol level.

Properties
For the total energy, the calculation gives -1.9025 eV/atom. The formation energy is 0.01 eV per atom.

POSCAR file:
```
Sr3Ca
1.0
-2.7744 -2.9728 4.1440
4.9292 -2.7736 1.3103
1.3088 4.1445 3.8494
Sr Ca
3 1
Direct
0.0000 0.5000 0.5000
0.5000 0.0000 0.5000
0.5000 0.5000 0.0000
0.0000 0.0000 0.0000
```

***

(4)
Below is Sr3Ca after structural relaxation, with properties calculated at the GGA-PBEsol level.

Properties
For the total energy, the calculation gives -1.8961 eV/atom. The formation energy is 0.02 eV per atom.

POSCAR file:
```
Sr3Ca
1.0
-1.9599 1.2438 3.2125
4.3873 -2.9150 3.8053
4.6839 5.8354 -0.9302
Sr Ca
3 1
Direct
0.2434 0.5000 0.7543
0.5000 0.0000 0.5000
0.7566 0.5000 0.2457
0.0000 0.0000 0.0000
```

***

(5)
Below is Sr2Ca after structural relaxation, with properties calculated at the GGA-PBEsol level.

Properties
For the total energy, the calculation gives -1.9009 eV/atom. The formation energy is 0.04 eV per atom. For the excess energy over the best structure of this formula in the dataset, the calculation gives 25 meV/atom.

POSCAR file:
```
Sr2Ca
1.0
-1.6991 -2.2386 2.8572
7.4823 -8.1280 -1.9188
2.2053 7.9791 7.5632
Ca Sr
3 6
Direct
0.0000 0.6667 0.3333
0.0000 0.3333 0.6667
0.5000 0.0000 0.0000
0.0000 0.6942 0.6942
0.0000 0.0000 0.3058
0.0000 0.3058 0.0000
0.5000 0.3589 0.3589
0.5000 0.0000 0.6411
0.5000 0.6411 0.0000
```

***

(6)
Below is Sr2Ca after structural relaxation, with properties calculated at the GGA-PBEsol level.

Properties
For the total energy, the calculation gives -1.8434 eV/atom. The formation energy is 0.09 eV per atom. For the excess energy over the best structure of this formula in the dataset, the calculation gives 83 meV/atom.

POSCAR file:
```
Sr2Ca
1.0
7.1797 0.0000 0.0000
3.5899 6.5000 0.0000
3.5899 0.0000 6.5000
Sr Ca
4 2
Direct
0.8425 0.5000 0.8150
0.1575 0.5000 0.1850
0.3425 0.8150 0.5000
0.6575 0.1850 0.5000
0.2500 0.0000 0.0000
0.7500 0.0000 0.0000
```

***

(7)
Below is SrCa after structural relaxation, with properties calculated at the GGA-PBEsol level.

Properties
For the total energy, the calculation gives -1.9616 eV/atom. The formation energy is 0.03 eV per atom. For the excess energy over the best structure of this formula in the dataset, the calculation gives 13 meV/atom.

POSCAR file:
```
SrCa
1.0
4.0183 0.0000 0.0000
-2.0092 3.4800 0.0000
0.0000 0.0000 6.6104
Sr Ca
1 1
Direct
0.3333 0.6667 0.5000
0.0000 0.0000 0.0000
```

***

(8)
Below is Sr3Ca after structural relaxation, with properties calculated at the GGA-PBEsol level.

Properties
For the total energy, the calculation gives -1.9020 eV/atom. The formation energy is 0.01 eV per atom.

POSCAR file:
```
Sr3Ca
1.0
-4.3221 0.5743 3.8337
0.8040 -5.4841 1.7280
5.5484 4.2708 1.2193
Sr Ca
3 1
Direct
0.7500 0.2500 0.5000
0.5000 0.5000 0.0000
0.2500 0.7500 0.5000
0.0000 0.0000 0.0000
```

***

(9)
Below is Sr3Ca after structural relaxation, with properties calculated at the GGA-PBEsol level.

Properties
For the total energy, the calculation gives -1.9036 eV/atom. The formation energy is 0.01 eV per atom.

POSCAR file:
```
Sr3Ca
1.0
4.1276 0.0000 0.0000
0.0000 5.7259 0.0000
0.0000 0.0000 8.2572
Sr Ca
3 1
Direct
0.5000 0.5000 0.7573
0.0000 0.0000 0.5000
0.5000 0.5000 0.2427
0.0000 0.0000 0.0000
```

***

(10)
Below is Sr3Ca4 after structural relaxation, with properties calculated at the GGA-PBEsol level.

Properties
For the total energy, the calculation gives -1.9889 eV/atom. The formation energy is 0.02 eV per atom.

POSCAR file:
```
Sr3Ca4
1.0
-0.0537 4.5103 0.4974
-4.4626 -0.1426 0.8112
5.0146 -3.7922 14.2271
Sr Ca
3 4
Direct
0.0000 0.0000 0.0000
0.7097 0.7097 0.4194
0.2903 0.2903 0.5806
0.8628 0.8628 0.7255
0.1372 0.1372 0.2745
0.5728 0.5728 0.1457
0.4272 0.4272 0.8543
```

***

(11)
Below is SrCa3Ta after structural relaxation, with properties calculated at the GGA-PBEsol level.

Properties
For the total energy, the calculation gives -3.3729 eV/atom. The formation energy is 0.79 eV per atom.

POSCAR file:
```
SrCa3Ta
1.0
-3.0192 -4.3653 2.1532
4.4328 -3.5125 -0.9053
2.0104 1.1892 5.2298
Sr Ca Ta
1 3 1
Direct
0.5000 0.5000 0.5000
0.0000 0.5000 0.0000
0.0000 0.0000 0.5000
0.5000 0.0000 0.0000
0.0000 0.0000 0.0000
```

***

(12)
Below is Sr2CaTa after structural relaxation, with properties calculated at the GGA-PBEsol level.

Properties
For the total energy, the calculation gives -3.8206 eV/atom. The formation energy is 0.77 eV per atom. For the excess energy over the best structure of this formula in the dataset, the calculation gives 0 meV/atom.

POSCAR file:
```
Sr2CaTa
1.0
3.5151 0.0000 0.0000
1.7575 3.0441 0.0000
1.7575 1.0147 12.2434
Sr Ca Ta
2 1 1
Direct
0.2378 0.2378 0.2866
0.7622 0.7622 0.7134
0.0000 0.0000 0.0000
0.5000 0.5000 0.5000
```

***

| no. | V (Å³/cell) |
| --- | --- |
| 1 | 274.42 |
| 2 | 191.88 |
| 3 | 195.70 |
| 4 | 191.56 |
| 5 | 436.38 |
| 6 | 303.34 |
| 7 | 92.44 |
| 8 | 195.56 |
| 9 | 195.15 |
| 10 | 313.43 |
| 11 | 187.91 |
| 12 | 131.01 |